# DyErPuSn PBE-GGA optimized geometry
data_DyErPuSn
_chemical_formula_sum 'Dy4 Er4 Pu4 Sn4'
_cell_length_a 7.610
_cell_length_b 7.610
_cell_length_c 7.610
_cell_angle_alpha 90.00
_cell_angle_beta 90.00
_cell_angle_gamma 90.00
_symmetry_space_group_name_H-M 'F -4 3 m'
_symmetry_Int_Tables_number 216
_symmetry_space_group_name_Hall 'F -4 2 3'
loop_
_atom_site_label
_atom_site_type_symbol
_atom_site_fract_x
_atom_site_fract_y
_atom_site_fract_z
Dy1 Dy 0.000 0.000 0.000
Er1 Er 0.250 0.250 0.250
Pu1 Pu 0.000 0.000 0.500
Sn1 Sn 0.250 0.250 0.750
# energy of formation from the pure elements: -0.5 eV per formula unit
# N(E_F): 10.55 states/eV/f.u.
# spin magnetization: 6.87 μB per formula unit
# raw total energy: -7.00 eV per atom